Entry 1:
The following is a GGA-PBE calculation of a geometry-optimized LaTlS structure, from the Alexandria database.

**Magnetic moment**: 0.00 μB per formula unit
**Theoretical density**: 6.92 g/cm³
**Formation energy without anion corrections**: -1222 meV per atom
**E_tot**: -5.030 eV/atom

a = 4.8108 Å, b = 4.8108 Å, c = 26.9448 Å
α = 90.00°, β = 90.00°, γ = 120.00°
Closest atoms and distances in Å follow each position.
Space group R-3m (No. 166, hexagonal axes)
Asymmetric unit:
La1 0.0000 0.0000 0.1004 [6 per cell]  4 S 2.86-2.88
Tl1 0.0000 0.0000 0.3521 [6 per cell]  3 Tl 2.96
S1 0.0000 0.0000 0.2074 [6 per cell]  4 La 2.86-2.88

Entry 2:
The following is a GGA-PBE calculation of a geometry-optimized Al2NiOs structure, from the Alexandria database.

**Magnetic moment**: 0.00 μB per formula unit
**Theoretical density**: 9.51 g/cm³
**E_tot**: -6.530 eV/atom

a = 3.0799 Å, b = 3.9986 Å, c = 8.5928 Å
α = 90.00°, β = 90.00°, γ = 90.00°
Closest atoms and distances in Å follow each position.
Space group Imm2 (No. 44)
Asymmetric unit:
Al1 0.0000 0.0000 0.0000 [2 per cell]  4 Ni 2.52, 2 Os 2.66, 4 Al 2.79-2.80
Al2 0.0000 0.5000 0.2288 [2 per cell]  2 Ni 2.49, 4 Os 2.53
Ni1 0.0000 0.0000 0.5016 [2 per cell]  6 Al 2.49-2.52, 2 Os 2.63
Os1 0.0000 0.5000 0.7531 [2 per cell]  6 Al 2.53-2.66, 2 Ni 2.63

Entry 3:
The following is a GGA-PBE calculation of a geometry-optimized LiCa2Ac structure, from the Alexandria database.

**Magnetic moment**: 0.00 μB per formula unit
**Theoretical density**: 3.40 g/cm³
**E_tot**: -2.316 eV/atom

a = 8.4999 Å, b = 8.4999 Å, c = 8.4999 Å
α = 90.00°, β = 90.00°, γ = 90.00°
Closest atoms and distances in Å follow each position.
Space group Fm-3m (No. 225)
Asymmetric unit:
Li1 0.0000 0.0000 0.0000 [4 per cell]  8 Ca 3.68
Ca1 0.2500 0.2500 0.2500 [8 per cell]  4 Ac 3.68, 4 Li 3.68
Ac1 0.0000 0.0000 0.5000 [4 per cell]  8 Ca 3.68

Entry 4:
The following is a GGA-PBE calculation of a geometry-optimized BaSr2Ti2O7 structure, from the Alexandria database.

**Magnetic moment**: 0.00 μB per formula unit
**Theoretical density**: 5.24 g/cm³
**Formation energy without anion corrections**: -3057 meV per atom
**E_tot**: -7.705 eV/atom

a = 5.6480 Å, b = 5.6439 Å, c = 10.7185 Å
α = 90.00°, β = 105.24°, γ = 90.00°
Closest atoms and distances in Å follow each position.
Space group C2/m (No. 12)
Asymmetric unit:
Ba1 0.0000 0.0000 0.0000 [2 per cell]  12 O 2.82-2.89
Sr1 0.1901 0.0000 0.3696 [4 per cell]  6 O 2.49-2.77
Ti1 0.1110 0.5000 0.2013 [4 per cell]  6 O 1.93-2.08
O1 0.0000 0.5000 0.0000 [2 per cell]  2 Ti 2.08
O2 0.1540 0.2486 0.7995 [8 per cell]  2 Ti 1.93-2.06
O3 0.1892 0.5000 0.3893 [4 per cell]  1 Ti 1.95

Entry 5:
The following is a GGA-PBE calculation of a geometry-optimized La2Zr structure, from the Alexandria database.

**Magnetic moment**: 0.00 μB per formula unit
**Theoretical density**: 6.60 g/cm³
**E_tot**: -5.939 eV/atom

a = 6.0886 Å, b = 6.0886 Å, c = 17.3552 Å
α = 90.00°, β = 90.00°, γ = 120.00°
Closest atoms and distances in Å follow each position.
Space group R32 (No. 155, hexagonal axes)
Asymmetric unit:
La1 0.0000 0.0000 0.0000 [3 per cell]  6 Zr 3.52, 6 La 3.58
La2 0.0000 0.6899 0.5000 [9 per cell]  8 La 3.27-3.64, 4 Zr 3.49-3.54
Zr1 0.0000 0.0000 0.3306 [6 per cell]  9 La 3.49-3.54, 3 Zr 3.52

Entry 6:
The following is a GGA-PBE calculation of a geometry-optimized HfV4Tc5 structure, from the Alexandria database.

**Magnetic moment**: 0.00 μB per formula unit
**Theoretical density**: 9.94 g/cm³
**E_tot**: -10.196 eV/atom

a = 3.0679 Å, b = 3.0679 Å, c = 15.4745 Å
α = 90.00°, β = 90.00°, γ = 90.00°
Closest atoms and distances in Å follow each position.
Space group P4/mmm (No. 123)
Asymmetric unit:
Hf1 0.0000 0.0000 0.0000 [1 per cell]  8 Tc 2.80, 4 Hf 3.07
V1 0.0000 0.0000 0.2073 [2 per cell]  8 Tc 2.61-2.66
V2 0.0000 0.0000 0.4025 [2 per cell]  8 Tc 2.63-2.64
Tc1 0.5000 0.5000 0.1140 [2 per cell]  4 V 2.61, 4 Hf 2.80
Tc2 0.5000 0.5000 0.3067 [2 per cell]  8 V 2.63-2.66
Tc3 0.5000 0.5000 0.5000 [1 per cell]  8 V 2.64

Entry 7:
The following is a GGA-PBE calculation of a geometry-optimized BaInTe structure, from the Alexandria database.

**Magnetic moment**: 0.00 μB per formula unit
**Theoretical density**: 5.32 g/cm³
**Formation energy without anion corrections**: -726 meV per atom
**E_tot**: -3.327 eV/atom

a = 4.8204 Å, b = 4.8311 Å, c = 10.1750 Å
α = 90.00°, β = 90.00°, γ = 90.00°
Closest atoms and distances in Å follow each position.
Space group Imm2 (No. 44)
Asymmetric unit:
Ba1 0.0000 0.0000 0.0000 [2 per cell]  5 In 3.42-3.80, 5 Te 3.64-3.83
In1 0.0000 0.0000 0.6635 [2 per cell]  1 Te 2.93
Te1 0.0000 0.0000 0.3759 [2 per cell]  1 In 2.93

Entry 8:
The following is a GGA-PBE calculation of a geometry-optimized LiPdAu2 structure, from the Alexandria database.

**Magnetic moment**: 0.00 μB per formula unit
**Theoretical density**: 11.81 g/cm³
**E_tot**: -3.536 eV/atom

a = 3.8771 Å, b = 3.8771 Å, c = 18.9749 Å
α = 90.00°, β = 90.00°, γ = 90.00°
Closest atoms and distances in Å follow each position.
Space group I-42d (No. 122)
Asymmetric unit:
Li1 0.0000 0.0000 0.0000 [4 per cell]  4 Au 2.74, 4 Pd 2.74
Pd1 0.0000 0.0000 0.5000 [4 per cell]  4 Li 2.74, 4 Au 2.74
Au1 0.2475 0.2500 0.1250 [8 per cell]  4 Au 2.73-2.76, 2 Li 2.74, 2 Pd 2.74

Copy entry 6 word for word.
The following is a GGA-PBE calculation of a geometry-optimized HfV4Tc5 structure, from the Alexandria database.

**Magnetic moment**: 0.00 μB per formula unit
**Theoretical density**: 9.94 g/cm³
**E_tot**: -10.196 eV/atom

a = 3.0679 Å, b = 3.0679 Å, c = 15.4745 Å
α = 90.00°, β = 90.00°, γ = 90.00°
Closest atoms and distances in Å follow each position.
Space group P4/mmm (No. 123)
Asymmetric unit:
Hf1 0.0000 0.0000 0.0000 [1 per cell]  8 Tc 2.80, 4 Hf 3.07
V1 0.0000 0.0000 0.2073 [2 per cell]  8 Tc 2.61-2.66
V2 0.0000 0.0000 0.4025 [2 per cell]  8 Tc 2.63-2.64
Tc1 0.5000 0.5000 0.1140 [2 per cell]  4 V 2.61, 4 Hf 2.80
Tc2 0.5000 0.5000 0.3067 [2 per cell]  8 V 2.63-2.66
Tc3 0.5000 0.5000 0.5000 [1 per cell]  8 V 2.64